SrCr2TeO6 | Alexandria | PBE+U | relaxed; DFT total energy = -6.835 eV/atom
1.0
2.789 1.610 4.606
-2.789 1.610 4.606
0.000 -3.220 4.606
Sr Cr Te O
1 2 1 6
Direct
0.000 0.000 0.000
0.235 0.235 0.235
0.749 0.749 0.749
0.537 0.537 0.537
0.081 0.488 0.896
0.430 0.942 0.550
0.488 0.896 0.082
0.550 0.430 0.942
0.896 0.082 0.488
0.942 0.550 0.430